Here is crystalline CuHgOs2 at its relaxed geometry from Alexandria. Energies are from PBE.

Its energy of formation is 0.774 eV per atom. The spin magnetization comes out at 0.01 Bohr magnetons per cell. The calculation puts the total energy at -23.8 eV/f.u.

It has space group Pmmm (No. 47), with a = 2.778 Å, b = 4.667 Å, c = 4.825 Å, α = 90.00°, β = 90.00° and γ = 90.00°. The distinct sites, in fractional coordinates, are Cu at (0.000, 0.000, 0.000), Hg at (0.500, 0.500, 0.000), Os at (0.000, 0.500, 0.500) and Os at (0.500, 0.000, 0.500).


Here is crystalline TbSc2Se4 at its relaxed geometry from Alexandria. Energies are from PBE.

The spin magnetization comes out at 0.00 Bohr magnetons per cell. Its raw formation energy is -1.75 eV/atom. The calculation puts the total energy at -43.5 eV/f.u.

It has space group Cmcm (No. 63), with a = 3.870 Å, b = 12.770 Å, c = 13.355 Å, α = 90.00°, β = 90.00° and γ = 90.00°. The distinct sites, in fractional coordinates, are Tb at (0.000, 0.124, 0.250), Sc at (0.000, 0.372, 0.065), Se at (0.000, 0.000, 0.000), Se at (0.000, 0.273, 0.618) and Se at (0.000, 0.457, 0.250).


Here is crystalline YTm4Zn at its relaxed geometry from Alexandria. Energies are from PBE.

Its energy of formation is -0.095 eV per atom. The spin magnetization comes out at 0.00 Bohr magnetons per cell. The calculation puts the total energy at -26.2 eV/f.u.

It has space group P4/mmm (No. 123), with a = 3.506 Å, b = 3.506 Å, c = 13.576 Å, α = 90.00°, β = 90.00° and γ = 90.00°. The distinct sites, in fractional coordinates, are Y at (0.000, 0.000, 0.000), Tm at (0.000, 0.000, 0.370), Tm at (0.500, 0.500, 0.185) and Zn at (0.500, 0.500, 0.500).


Here is crystalline NdZrRe4 at its relaxed geometry from Alexandria. Energies are from PBE.

Its energy of formation is -0.068 eV per atom. The spin magnetization comes out at 0.00 Bohr magnetons per cell. The calculation puts the total energy at -63.5 eV/f.u.

It has space group F-43m (No. 216), with a = 7.653 Å, b = 7.653 Å, c = 7.653 Å, α = 90.00°, β = 90.00° and γ = 90.00°. The distinct sites, in fractional coordinates, are Nd at (0.000, 0.000, 0.000), Zr at (0.250, 0.250, 0.750) and Re at (0.125, 0.125, 0.375).


Here is crystalline Ca2MgZr at its relaxed geometry from Alexandria. Energies are from PBE.

Its energy of formation is 0.261 eV per atom. The spin magnetization comes out at 0.00 Bohr magnetons per cell. The calculation puts the total energy at -13.1 eV/f.u.

It has space group P2/m (No. 10), with a = 3.348 Å, b = 5.181 Å, c = 6.805 Å, α = 90.00°, β = 90.14° and γ = 90.00°. The distinct sites, in fractional coordinates, are Ca at (0.000, 0.000, 0.248), Mg at (0.500, 0.500, 0.500) and Zr at (0.500, 0.500, 0.000).


Here is crystalline TbCe5Au6 at its relaxed geometry from Alexandria. Energies are from PBE.

Its energy of formation is -0.638 eV per atom. The spin magnetization comes out at 10.63 Bohr magnetons per cell. The calculation puts the total energy at -61.6 eV/f.u.

It has space group C2/m (No. 12), with a = 16.249 Å, b = 7.485 Å, c = 5.160 Å, α = 90.00°, β = 108.51° and γ = 90.00°. The distinct sites, in fractional coordinates, are Tb at (0.000, 0.000, 0.000), Ce at (0.000, 0.500, 0.000), Ce at (0.155, 0.500, 0.654), Ce at (0.179, 0.000, 0.678), Au at (0.000, 0.218, 0.500) and Au at (0.162, 0.232, 0.161).


Here is crystalline Th2CrP3Ir4 at its relaxed geometry from Alexandria. Energies are from PBE.

Its energy of formation is -0.889 eV per atom. The spin magnetization comes out at 1.06 Bohr magnetons per cell. The calculation puts the total energy at -85.0 eV/f.u.

It has space group P-4m2 (No. 115), with a = 4.104 Å, b = 4.104 Å, c = 10.128 Å, α = 90.00°, β = 90.00° and γ = 90.00°. The distinct sites, in fractional coordinates, are Th at (0.000, 0.500, 0.248), Cr at (0.000, 0.000, 0.500), P at (0.000, 0.500, 0.862), P at (0.500, 0.500, 0.500), Ir at (0.000, 0.000, 0.000), Ir at (0.000, 0.500, 0.628) and Ir at (0.500, 0.500, 0.000).


Here is crystalline Li2In2Hg5 at its relaxed geometry from Alexandria. Energies are from PBE.

Its energy of formation is -0.132 eV per atom. The spin magnetization comes out at 0.00 Bohr magnetons per cell. The calculation puts the total energy at -12.0 eV/f.u.

It has space group Ima2 (No. 46), with a = 17.280 Å, b = 6.540 Å, c = 7.529 Å, α = 90.00°, β = 90.00° and γ = 90.00°. The distinct sites, in fractional coordinates, are Li at (0.000, 0.000, 0.000), Li at (0.250, 0.192, 0.705), In at (0.085, 0.119, 0.348), Hg at (0.071, 0.656, 0.181), Hg at (0.165, 0.005, 0.994) and Hg at (0.250, 0.587, 0.917).